No. 1
# ScMn2Hg PBE optimized geometry
# Energy relative to the elements: 0.10 eV per atom
# N(E_F): 1.044 states/eV/atom
# Total DFT energy (no corrections): -6.14 eV per atom
# Magnetic moment: 6.16 Bohr magnetons per cell
data_ScMn2Hg
_symmetry_space_group_name_H-M 'P 1'
_symmetry_Int_Tables_number 1
_cell_length_a 5.164
_cell_length_b 5.164
_cell_length_c 5.164
_cell_angle_alpha 134.35
_cell_angle_beta 134.35
_cell_angle_gamma 66.53
loop_
_symmetry_equiv_pos_as_xyz
'x,y,z'
loop_
_atom_site_label
_atom_site_type_symbol
_atom_site_fract_x
_atom_site_fract_y
_atom_site_fract_z
_atom_site_occupancy
Hg1 Hg 0.750 0.250 0.500 1
Mn1 Mn 0.000 0.000 0.000 1
Mn2 Mn 0.250 0.750 0.500 1
Sc1 Sc 0.500 0.500 0.000 1



No. 2
# TmPuSnRh PBE optimized geometry
# Energy relative to the elements: -0.42 eV per atom
# N(E_F): 2.165 states/eV/atom
# Total DFT energy (no corrections): -7.96 eV per atom
# Magnetic moment: 5.00 Bohr magnetons per cell
data_TmPuSnRh
_symmetry_space_group_name_H-M 'P 1'
_symmetry_Int_Tables_number 1
_cell_length_a 5.083
_cell_length_b 5.083
_cell_length_c 5.083
_cell_angle_alpha 60.00
_cell_angle_beta 60.00
_cell_angle_gamma 60.00
loop_
_symmetry_equiv_pos_as_xyz
'x,y,z'
loop_
_atom_site_label
_atom_site_type_symbol
_atom_site_fract_x
_atom_site_fract_y
_atom_site_fract_z
_atom_site_occupancy
Tm1 Tm 0.500 0.500 0.500 1
Rh1 Rh 0.750 0.750 0.750 1
Sn1 Sn 0.250 0.250 0.250 1
Pu1 Pu 0.000 0.000 0.000 1